1.
Density functional theory data (GGA-PBE) for crystalline Hg5Pd6 at its relaxed geometry.

Output
V (Å³/cell): 208.45
Total DFT energy (no corrections) (eV for the cell shown): -33.7
DOS(E_F) (states/eV/f.u.): 2.869

Cell: 7.786 7.786 7.786 Å, 148.56 120.92 68.47°
Atoms (fractional coordinates):
Hg1 0.000 0.000 0.000
Hg2 0.174 0.674 0.500
Hg3 0.355 0.355 0.000
Hg4 0.645 0.645 0.000
Hg5 0.826 0.326 0.500
Pd1 0.082 0.833 0.249
Pd2 0.237 0.500 0.737
Pd3 0.416 0.167 0.249
Pd4 0.584 0.833 0.751
Pd5 0.763 0.500 0.263
Pd6 0.918 0.167 0.751


2.
Density functional theory data (GGA-PBE) for crystalline HgPd4 at its relaxed geometry.

Output
Energy relative to the lowest polymorph listed for this composition (kJ per mole of atoms): 0.00
V (Å³/cell): 89.85
Total DFT energy (no corrections) (eV for the cell shown): -20.5
DOS(E_F) (states/eV/f.u.): 6.013

Cell: 4.838 4.838 4.608 Å, 110.89 110.89 67.16°
Atoms (fractional coordinates):
Hg1 0.000 0.000 0.000
Pd1 0.000 0.500 0.500
Pd2 0.389 0.389 0.144
Pd3 0.500 0.000 0.500
Pd4 0.611 0.611 0.856


3.
Density functional theory data (GGA-PBE) for crystalline Hg5Pd at its relaxed geometry.

Output
Energy relative to the lowest polymorph listed for this composition (kJ per mole of atoms): 9.46
V (Å³/cell): 134.10
Total DFT energy (no corrections) (eV for the cell shown): -6.2
DOS(E_F) (states/eV/f.u.): 1.950

Cell: 7.610 7.610 4.307 Å, 90.00 90.00 147.48°
Atoms (fractional coordinates):
Hg1 0.000 0.000 0.000
Hg2 0.154 0.846 0.500
Hg3 0.337 0.663 0.000
Hg4 0.663 0.337 0.000
Hg5 0.846 0.154 0.500
Pd1 0.500 0.500 0.500


4.
Density functional theory data (GGA-PBE) for crystalline Hg3Pd2 at its relaxed geometry.

Output
Energy relative to the lowest polymorph listed for this composition (kJ per mole of atoms): 0.00
V (Å³/cell): 101.32
Total DFT energy (no corrections) (eV for the cell shown): -11.6
DOS(E_F) (states/eV/f.u.): 1.827

Cell: 5.338 5.338 5.338 Å, 131.29 111.20 88.76°
Atoms (fractional coordinates):
Hg1 0.000 0.000 0.000
Hg2 0.306 0.806 0.500
Hg3 0.694 0.194 0.500
Pd1 0.273 0.500 0.773
Pd2 0.727 0.500 0.227


5.
Density functional theory data (GGA-PBE) for crystalline Hg3Pd2 at its relaxed geometry.

Output
Energy relative to the lowest polymorph listed for this composition (kJ per mole of atoms): 3.87
V (Å³/cell): 216.02
Total DFT energy (no corrections) (eV for the cell shown): -22.8
DOS(E_F) (states/eV/f.u.): 1.172

Cell: 7.827 7.827 7.827 Å, 44.73 44.73 44.73°
Atoms (fractional coordinates):
Hg1 0.161 0.750 0.339
Hg2 0.250 0.661 0.839
Hg3 0.339 0.161 0.750
Hg4 0.661 0.839 0.250
Hg5 0.750 0.339 0.161
Hg6 0.839 0.250 0.661
Pd1 0.183 0.183 0.183
Pd2 0.317 0.317 0.317
Pd3 0.683 0.683 0.683
Pd4 0.817 0.817 0.817


6.
Density functional theory data (GGA-PBE) for crystalline Hg3Pd at its relaxed geometry.

Output
V (Å³/cell): 82.25
Total DFT energy (no corrections) (eV for the cell shown): -5.9
DOS(E_F) (states/eV/f.u.): 1.660

Cell: 5.489 5.489 5.489 Å, 134.71 134.71 65.98°
Atoms (fractional coordinates):
Hg1 0.000 0.000 0.000
Hg2 0.250 0.750 0.500
Hg3 0.750 0.250 0.500
Pd1 0.500 0.500 0.000


7.
Density functional theory data (GGA-PBE) for crystalline Hg5Pd7 at its relaxed geometry.

Output
V (Å³/cell): 213.79
Total DFT energy (no corrections) (eV for the cell shown): -38.8
DOS(E_F) (states/eV/f.u.): 3.475

Cell: 5.110 5.110 10.299 Å, 105.34 105.34 56.44°
Atoms (fractional coordinates):
Hg1 0.000 0.000 0.000
Hg2 0.166 0.166 0.505
Hg3 0.267 0.267 0.244
Hg4 0.733 0.733 0.756
Hg5 0.834 0.834 0.495
Pd1 0.071 0.071 0.749
Pd2 0.334 0.334 0.996
Pd3 0.408 0.408 0.754
Pd4 0.500 0.500 0.500
Pd5 0.592 0.592 0.246
Pd6 0.666 0.666 0.004
Pd7 0.929 0.929 0.251


8.
Density functional theory data (GGA-PBE) for crystalline Hg5Pd2 at its relaxed geometry.

Output
V (Å³/cell): 293.61
Total DFT energy (no corrections) (eV for the cell shown): -24.6
DOS(E_F) (states/eV/f.u.): 3.402

Cell: 9.915 9.915 2.986 Å, 90.00 90.00 90.00°
Atoms (fractional coordinates):
Hg1 0.000 0.500 0.000
Hg2 0.064 0.205 0.000
Hg3 0.205 0.936 0.000
Hg4 0.295 0.436 0.000
Hg5 0.436 0.705 0.000
Hg6 0.500 0.000 0.000
Hg7 0.564 0.295 0.000
Hg8 0.705 0.564 0.000
Hg9 0.795 0.064 0.000
Hg10 0.936 0.795 0.000
Pd1 0.180 0.680 0.500
Pd2 0.320 0.180 0.500
Pd3 0.680 0.820 0.500
Pd4 0.820 0.320 0.500


9.
Density functional theory data (GGA-PBE) for crystalline PmHg4Pd at its relaxed geometry.

Output
Energy relative to the lowest polymorph listed for this composition (kJ per mole of atoms): 0.00
V (Å³/cell): 288.38
Total DFT energy (no corrections) (eV for the cell shown): -26.1
DOS(E_F) (states/eV/f.u.): 2.978

Cell: 8.626 8.626 6.956 Å, 90.00 90.00 146.14°
Atoms (fractional coordinates):
Pm1 0.170 0.830 0.500
Pm2 0.830 0.170 0.000
Hg1 0.025 0.975 0.844
Hg2 0.204 0.796 0.965
Hg3 0.360 0.640 0.671
Hg4 0.464 0.536 0.047
Hg5 0.536 0.464 0.547
Hg6 0.640 0.360 0.171
Hg7 0.796 0.204 0.465
Hg8 0.975 0.025 0.344
Pd1 0.320 0.680 0.265
Pd2 0.680 0.320 0.765


10.
Density functional theory data (GGA-PBE) for crystalline Pm5HgPd4 at its relaxed geometry.

Output
V (Å³/cell): 241.61
Total DFT energy (no corrections) (eV for the cell shown): -51.8
DOS(E_F) (states/eV/f.u.): 8.988

Cell: 3.622 3.622 18.414 Å, 90.00 90.00 90.00°
Atoms (fractional coordinates):
Pm1 0.000 0.000 0.000
Pm2 0.000 0.000 0.194
Pm3 0.000 0.000 0.387
Pm4 0.000 0.000 0.613
Pm5 0.000 0.000 0.806
Hg1 0.500 0.500 0.500
Pd1 0.500 0.500 0.096
Pd2 0.500 0.500 0.292
Pd3 0.500 0.500 0.708
Pd4 0.500 0.500 0.904


11.
Density functional theory data (GGA-PBE) for crystalline Pm8HgPd2 at its relaxed geometry.

Output
Energy relative to the lowest polymorph listed for this composition (kJ per mole of atoms): 8.86
V (Å³/cell): 331.63
Total DFT energy (no corrections) (eV for the cell shown): -51.6
DOS(E_F) (states/eV/f.u.): 13.629

Cell: 8.212 8.212 5.693 Å, 98.85 98.85 115.55°
Atoms (fractional coordinates):
Pm1 0.000 0.000 0.000
Pm2 0.059 0.304 0.609
Pm3 0.152 0.627 0.188
Pm4 0.304 0.059 0.609
Pm5 0.475 0.720 0.767
Pm6 0.627 0.152 0.188
Pm7 0.720 0.475 0.767
Pm8 0.779 0.779 0.376
Hg1 0.390 0.390 0.186
Pd1 0.090 0.690 0.688
Pd2 0.690 0.090 0.688


12.
Density functional theory data (GGA-PBE) for crystalline PmHg5Pd6 at its relaxed geometry.

Output
V (Å³/cell): 226.03
Total DFT energy (no corrections) (eV for the cell shown): -41.2
DOS(E_F) (states/eV/f.u.): 3.912

Cell: 4.851 6.521 7.272 Å, 90.00 100.69 90.00°
Atoms (fractional coordinates):
Pm1 0.000 0.000 0.000
Hg1 0.000 0.500 0.000
Hg2 0.349 0.500 0.668
Hg3 0.359 0.000 0.672
Hg4 0.641 0.000 0.328
Hg5 0.651 0.500 0.332
Pd1 0.148 0.253 0.340
Pd2 0.148 0.747 0.340
Pd3 0.500 0.264 0.000
Pd4 0.500 0.736 0.000
Pd5 0.852 0.253 0.660
Pd6 0.852 0.747 0.660


13.
Density functional theory data (GGA-PBE) for crystalline Pm2HgPd9 at its relaxed geometry.

Output
Energy relative to the lowest polymorph listed for this composition (kJ per mole of atoms): 0.00
V (Å³/cell): 213.63
Total DFT energy (no corrections) (eV for the cell shown): -63.3
DOS(E_F) (states/eV/f.u.): 10.356

Cell: 4.142 4.142 12.455 Å, 90.00 90.00 90.00°
Atoms (fractional coordinates):
Pm1 0.000 0.000 0.172
Pm2 0.000 0.000 0.828
Hg1 0.000 0.000 0.500
Pd1 0.000 0.500 0.000
Pd2 0.000 0.500 0.339
Pd3 0.000 0.500 0.661
Pd4 0.500 0.000 0.000
Pd5 0.500 0.000 0.339
Pd6 0.500 0.000 0.661
Pd7 0.500 0.500 0.168
Pd8 0.500 0.500 0.500
Pd9 0.500 0.500 0.832


14.
Density functional theory data (GGA-PBE) for crystalline PmHgPd2 at its relaxed geometry.

Output
Energy relative to the lowest polymorph listed for this composition (kJ per mole of atoms): 8.03
V (Å³/cell): 82.82
Total DFT energy (no corrections) (eV for the cell shown): -17.7
DOS(E_F) (states/eV/f.u.): 1.399

Cell: 3.663 3.663 6.172 Å, 90.00 90.00 90.00°
Atoms (fractional coordinates):
Pm1 0.000 0.000 0.000
Hg1 0.000 0.000 0.500
Pd1 0.500 0.500 0.263
Pd2 0.500 0.500 0.737


15.
Density functional theory data (GGA-PBE) for crystalline Pm2HgPd8 at its relaxed geometry.

Output
V (Å³/cell): 202.08
Total DFT energy (no corrections) (eV for the cell shown): -56.5
DOS(E_F) (states/eV/f.u.): 4.078

Cell: 7.704 7.704 6.667 Å, 107.22 107.22 32.47°
Atoms (fractional coordinates):
Pm1 0.215 0.215 0.165
Pm2 0.785 0.785 0.835
Hg1 0.500 0.500 0.500
Pd1 0.034 0.034 0.223
Pd2 0.143 0.143 0.675
Pd3 0.331 0.331 0.603
Pd4 0.412 0.412 0.057
Pd5 0.588 0.588 0.943
Pd6 0.669 0.669 0.397
Pd7 0.857 0.857 0.325
Pd8 0.966 0.966 0.777


16.
Density functional theory data (GGA-PBE) for crystalline PmHgPd at its relaxed geometry.

Output
Energy relative to the lowest polymorph listed for this composition (kJ per mole of atoms): 0.00
V (Å³/cell): 415.99
Total DFT energy (no corrections) (eV for the cell shown): -73.7
DOS(E_F) (states/eV/f.u.): 2.172

Cell: 13.572 3.884 7.891 Å, 90.00 90.00 90.00°
Atoms (fractional coordinates):
Pm1 0.050 0.000 0.240
Pm2 0.250 0.000 0.832
Pm3 0.450 0.000 0.240
Pm4 0.550 0.000 0.760
Pm5 0.750 0.000 0.168
Pm6 0.950 0.000 0.760
Hg1 0.110 0.500 0.571
Hg2 0.250 0.500 0.182
Hg3 0.390 0.500 0.571
Hg4 0.610 0.500 0.429
Hg5 0.750 0.500 0.818
Hg6 0.890 0.500 0.429
Pd1 0.094 0.500 0.937
Pd2 0.250 0.000 0.446
Pd3 0.406 0.500 0.937
Pd4 0.594 0.500 0.063
Pd5 0.750 0.000 0.554
Pd6 0.906 0.500 0.063


17.
Density functional theory data (GGA-PBE) for crystalline Pm3Hg3Pd2 at its relaxed geometry.

Output
Energy relative to the lowest polymorph listed for this composition (kJ per mole of atoms): 4.94
V (Å³/cell): 395.10
Total DFT energy (no corrections) (eV for the cell shown): -60.8
DOS(E_F) (states/eV/f.u.): 5.223

Cell: 5.803 5.803 17.967 Å, 90.00 90.00 139.24°
Atoms (fractional coordinates):
Pm1 0.065 0.935 0.607
Pm2 0.065 0.935 0.893
Pm3 0.324 0.676 0.750
Pm4 0.676 0.324 0.250
Pm5 0.935 0.065 0.107
Pm6 0.935 0.065 0.393
Hg1 0.359 0.641 0.531
Hg2 0.359 0.641 0.969
Hg3 0.399 0.601 0.250
Hg4 0.601 0.399 0.750
Hg5 0.641 0.359 0.031
Hg6 0.641 0.359 0.469
Pd1 0.232 0.768 0.127
Pd2 0.232 0.768 0.373
Pd3 0.768 0.232 0.627
Pd4 0.768 0.232 0.873


18.
Density functional theory data (GGA-PBE) for crystalline Pm3HgPd at its relaxed geometry.

Output
Energy relative to the lowest polymorph listed for this composition (kJ per mole of atoms): 0.00
V (Å³/cell): 581.23
Total DFT energy (no corrections) (eV for the cell shown): -87.6
DOS(E_F) (states/eV/f.u.): 5.717

Cell: 9.523 7.775 8.329 Å, 90.00 109.54 90.00°
Atoms (fractional coordinates):
Pm1 0.077 0.014 0.215
Pm2 0.077 0.486 0.715
Pm3 0.310 0.154 0.614
Pm4 0.310 0.346 0.114
Pm5 0.361 0.680 0.483
Pm6 0.361 0.820 0.983
Pm7 0.639 0.180 0.017
Pm8 0.639 0.320 0.517
Pm9 0.690 0.654 0.886
Pm10 0.690 0.846 0.386
Pm11 0.923 0.514 0.285
Pm12 0.923 0.986 0.785
Hg1 0.081 0.670 0.053
Hg2 0.081 0.830 0.553
Hg3 0.919 0.170 0.447
Hg4 0.919 0.330 0.947
Pd1 0.415 0.040 0.317
Pd2 0.415 0.460 0.817
Pd3 0.585 0.540 0.183
Pd4 0.585 0.960 0.683


19.
Density functional theory data (GGA-PBE) for crystalline Pm6HgPd3 at its relaxed geometry.

Output
V (Å³/cell): 587.79
Total DFT energy (no corrections) (eV for the cell shown): -97.7
DOS(E_F) (states/eV/f.u.): 10.132

Cell: 9.110 9.110 7.264 Å, 90.00 90.00 102.83°
Atoms (fractional coordinates):
Pm1 0.010 0.990 0.500
Pm2 0.083 0.513 0.498
Pm3 0.234 0.766 0.838
Pm4 0.291 0.371 0.918
Pm5 0.371 0.291 0.418
Pm6 0.487 0.917 0.498
Pm7 0.513 0.083 0.998
Pm8 0.629 0.709 0.918
Pm9 0.709 0.629 0.418
Pm10 0.766 0.234 0.338
Pm11 0.917 0.487 0.998
Pm12 0.990 0.010 0.000
Hg1 0.193 0.807 0.256
Hg2 0.807 0.193 0.756
Pd1 0.083 0.276 0.232
Pd2 0.276 0.083 0.732
Pd3 0.411 0.589 0.618
Pd4 0.589 0.411 0.118
Pd5 0.724 0.917 0.232
Pd6 0.917 0.724 0.732


20.
Density functional theory data (GGA-PBE) for crystalline PmHgPd2 at its relaxed geometry.

Output
Energy relative to the lowest polymorph listed for this composition (kJ per mole of atoms): 0.00
V (Å³/cell): 162.70
Total DFT energy (no corrections) (eV for the cell shown): -36.0
DOS(E_F) (states/eV/f.u.): 1.575

Cell: 5.018 6.226 5.208 Å, 90.00 90.00 90.00°
Atoms (fractional coordinates):
Pm1 0.250 0.250 0.188
Pm2 0.750 0.750 0.812
Hg1 0.250 0.750 0.217
Hg2 0.750 0.250 0.783
Pd1 0.250 0.003 0.687
Pd2 0.250 0.497 0.687
Pd3 0.750 0.503 0.313
Pd4 0.750 0.997 0.313